1.
The following is a DFT calculation (GGA-PBE) of an optimized crystal structure of Sr2TaRuO6.

```
data_Sr2TaRuO6
_chemical_formula_sum 'Sr4 Ta2 Ru2 O12'
_cell_length_a 5.6901
_cell_length_b 5.6901
_cell_length_c 8.0336
_cell_angle_alpha 90.00
_cell_angle_beta 90.00
_cell_angle_gamma 90.00
_space_group_name_H-M_alt 'I 4/m m m'
_space_group_IT_number 139
_space_group_name_Hall '-I 4 2'
loop_
_atom_site_label
_atom_site_fract_x
_atom_site_fract_y
_atom_site_fract_z
Sr1 0.0000 0.5000 0.2500
Ta1 0.0000 0.0000 0.0000
Ru1 0.0000 0.0000 0.5000
O1 0.0000 0.0000 0.2474
O2 0.2472 0.2472 0.0000
```

E: -7.887 eV/atom
Spin magnetization: 2.041 Bohr magnetons per cell

---

2.
The following is a DFT calculation (GGA-PBE) of an optimized crystal structure of LiNdCuGe2.

```
data_LiNdCuGe2
_chemical_formula_sum 'Li2 Nd2 Cu2 Ge4'
_cell_length_a 4.1573
_cell_length_b 4.1573
_cell_length_c 10.5476
_cell_angle_alpha 90.00
_cell_angle_beta 90.00
_cell_angle_gamma 90.00
_space_group_name_H-M_alt 'I -4 m 2'
_space_group_IT_number 119
_space_group_name_Hall 'I -4 -2'
loop_
_atom_site_label
_atom_site_fract_x
_atom_site_fract_y
_atom_site_fract_z
Li1 0.0000 0.0000 0.0000
Nd1 0.0000 0.5000 0.7500
Cu1 0.0000 0.0000 0.5000
Ge1 0.0000 0.5000 0.1306
```

E: -4.584 eV/atom
Spin magnetization: 0.000 Bohr magnetons per cell